Entry 1:
K2AlIn: relaxed, PBE-GGA.

Cell: 8.3408 8.3408 8.3408 Å, 90.00 90.00 90.00°
Space group Fm-3m (No. 225)
Symmetry-distinct sites (fractional):
K: 0.2500 0.2500 0.2500
Al: 0.0000 0.0000 0.0000
In: 0.0000 0.0000 0.5000

**Calculated total energy**: -7.37 eV per formula unit
**ΔE_f**: 31.6 kJ/mol of atoms



Entry 2:
Tm4BiSe2: relaxed, PBE-GGA.

Cell: 4.0812 13.0900 13.6866 Å, 90.00 90.00 90.00°
Space group Cmcm (No. 63)
Symmetry-distinct sites (fractional):
Tm: 0.0000 0.0000 0.0000
Tm: 0.0000 0.2693 0.1227
Tm: 0.0000 0.4231 0.7500
Bi: 0.0000 0.1007 0.7500
Se: 0.0000 0.3639 0.5577

**E_form (uncorrected)**: -1156 meV per atom
**Calculated total energy**: -36.83 eV per formula unit



Entry 3:
Ba2TmPdO4: relaxed, PBE-GGA.

Cell: 6.5064 6.5064 7.1052 Å, 90.00 90.00 90.00°
Space group I-4 (No. 82)
Symmetry-distinct sites (fractional):
Ba: 0.0000 0.0000 0.0000
Ba: 0.0000 0.5000 0.2500
Tm: 0.0000 0.0000 0.5000
Pd: 0.0000 0.5000 0.7500
O: 0.1636 0.8011 0.6850

**E_form (uncorrected)**: -2155 meV per atom
**Calculated total energy**: -50.58 eV per formula unit



Entry 4:
Tb6Bi2Te: relaxed, PBE-GGA.

Cell: 8.4944 8.4944 4.2660 Å, 90.00 90.00 120.00°
Space group P-62m (No. 189)
Symmetry-distinct sites (fractional):
Tb: 0.0000 0.2576 0.0000
Tb: 0.0000 0.5976 0.5000
Bi: 0.3333 0.6667 0.0000
Te: 0.0000 0.0000 0.5000

**E_form (uncorrected)**: -668 meV per atom
**Calculated total energy**: -44.70 eV per formula unit